Entry 1:
Computed, not measured: an optimized crystal structure of Al5Te12Pb3 at the PBE level of DFT.

Results
final energy: -3.630 eV per atom
symmetry: No. 230
formation energy from raw total energies: -253 meV/atom
total magnetic moment: 0.00 μB per formula unit
D(E_F): 0.951 states/eV/atom

a b c (Å): 15.059 15.059 15.059
angles (deg): 109.47 109.47 109.47
Atoms (fractional coordinates):
Pb: 0.750 0.375 0.125
Pb: 0.875 0.750 0.125
Pb: 0.375 0.750 0.625
Pb: 0.250 0.125 0.375
Pb: 0.875 0.125 0.250
Pb: 0.375 0.625 0.250
Pb: 0.625 0.375 0.750
Pb: 0.125 0.875 0.750
Pb: 0.750 0.875 0.625
Pb: 0.625 0.250 0.375
Pb: 0.125 0.250 0.875
Pb: 0.250 0.625 0.875
Al: 0.125 0.375 0.250
Al: 0.000 0.500 0.000
Al: 0.000 0.000 0.000
Al: 0.375 0.250 0.125
Al: 0.500 0.000 0.500
Al: 0.500 0.500 0.000
Al: 0.125 0.750 0.375
Al: 0.750 0.125 0.875
Al: 0.750 0.625 0.375
Al: 0.375 0.125 0.750
Al: 0.625 0.875 0.250
Al: 0.500 0.500 0.500
Al: 0.500 0.000 0.000
Al: 0.000 0.000 0.500
Al: 0.250 0.375 0.625
Al: 0.250 0.875 0.125
Al: 0.000 0.500 0.500
Al: 0.875 0.250 0.625
Al: 0.625 0.750 0.875
Al: 0.875 0.625 0.750
Te: 0.707 0.116 0.029
Te: 0.323 0.529 0.413
Te: 0.971 0.384 0.293
Te: 0.529 0.207 0.116
Te: 0.591 0.707 0.677
Te: 0.971 0.587 0.177
Te: 0.323 0.793 0.409
Te: 0.087 0.909 0.116
Te: 0.587 0.971 0.677
Te: 0.707 0.591 0.177
Te: 0.793 0.471 0.384
Te: 0.823 0.913 0.029
Te: 0.116 0.707 0.529
Te: 0.384 0.413 0.091
Te: 0.091 0.913 0.384
Te: 0.409 0.116 0.587
Te: 0.091 0.177 0.207
Te: 0.471 0.677 0.087
Te: 0.823 0.909 0.293
Te: 0.116 0.409 0.087
Te: 0.384 0.971 0.793
Te: 0.587 0.616 0.409
Te: 0.913 0.823 0.529
Te: 0.793 0.323 0.909
Te: 0.413 0.384 0.591
Te: 0.087 0.177 0.471
Te: 0.207 0.677 0.091
Te: 0.177 0.091 0.707
Te: 0.616 0.029 0.207
Te: 0.884 0.591 0.913
Te: 0.529 0.323 0.913
Te: 0.591 0.884 0.413
Te: 0.909 0.823 0.793
Te: 0.909 0.087 0.616
Te: 0.884 0.293 0.471
Te: 0.177 0.087 0.971
Te: 0.616 0.587 0.909
Te: 0.413 0.029 0.323
Te: 0.293 0.409 0.823
Te: 0.207 0.529 0.616
Te: 0.913 0.091 0.884
Te: 0.677 0.207 0.591
Te: 0.471 0.793 0.884
Te: 0.029 0.413 0.823
Te: 0.409 0.293 0.323
Te: 0.029 0.616 0.707
Te: 0.677 0.471 0.587
Te: 0.293 0.884 0.971

Entry 2:
Computed, not measured: an optimized crystal structure of AlTe4Pb at the PBE level of DFT.

Results
final energy: -2.951 eV per atom
symmetry: No. 216
formation energy from raw total energies: 385 meV/atom
total magnetic moment: 0.00 μB per formula unit
D(E_F): 0.656 states/eV/atom

a b c (Å): 6.408 6.408 6.408
angles (deg): 60.00 60.00 60.00
Atoms (fractional coordinates):
Al: 0.750 0.750 0.750
Te: 0.874 0.375 0.375
Te: 0.375 0.375 0.874
Te: 0.375 0.874 0.375
Te: 0.375 0.375 0.375
Pb: 0.000 0.000 0.000

Entry 3:
Computed, not measured: an optimized crystal structure of Al2TePb at the PBE level of DFT.

Results
final energy: -3.286 eV per atom
symmetry: No. 216
formation energy from raw total energies: 298 meV/atom
total magnetic moment: 0.00 μB per formula unit
polymorph energy (0 for the lowest one): 272 meV per atom
D(E_F): 0.389 states/eV/atom

a b c (Å): 5.251 5.251 5.251
angles (deg): 60.00 60.00 60.00
Atoms (fractional coordinates):
Pb: 0.500 0.500 0.500
Te: 0.750 0.750 0.750
Al: 0.000 0.000 0.000
Al: 0.250 0.250 0.250